# 1
Entry from the Alexandria database: SrAc4Cd after structural relaxation (GGA-PBE).

## Properties
Fermi-level density of states = 8.41 states/eV/cell
Distance to the lowest polymorph of the same formula = 0 meV per atom
Raw total energy = -3.246 eV per atom

Cell: 4.0270 4.0270 15.7789 Å, 90.00 90.00 90.00°
Element x y z (fractional)
Sr: 0.0000 0.0000 0.0000
Ac: 0.5000 0.5000 0.1921
Ac: 0.0000 0.0000 0.6337
Ac: 0.0000 0.0000 0.3663
Ac: 0.5000 0.5000 0.8079
Cd: 0.5000 0.5000 0.5000

# 2
Entry from the Alexandria database: Rb2ZrPO6 after structural relaxation (GGA-PBE).

## Properties
Fermi-level density of states = 1.10 states/eV/cell
E_form (uncorrected) = -2.014 eV/atom
Raw total energy = -6.579 eV per atom

Cell: 5.2814 6.4055 6.4055 Å, 120.00 90.00 90.00°
Each line ends with the local moment (μB).
Element x y z (fractional)
Rb: 0.1339 0.3333 0.6667  0.00
Rb: 0.8661 0.6667 0.3333  0.00
Zr: 0.5000 0.0000 0.0000  -0.05
P: 0.0000 0.0000 0.0000  -0.01
O: 0.8038 0.1262 0.2523  0.16
O: 0.8038 0.1262 0.8738  0.16
O: 0.8038 0.7477 0.8738  0.16
O: 0.1962 0.8738 0.1262  0.16
O: 0.1962 0.2523 0.1262  0.16
O: 0.1962 0.8738 0.7477  0.16

# 3
Entry from the Alexandria database: NaAcPmSn after structural relaxation (GGA-PBE).

## Properties
Fermi-level density of states = 3.40 states/eV/cell
Raw total energy = -3.829 eV per atom

Cell: 5.6512 5.6512 5.6512 Å, 60.00 60.00 60.00°
Element x y z (fractional)
Na: 0.7500 0.7500 0.7500
Ac: 0.5000 0.5000 0.5000
Sn: 0.2500 0.2500 0.2500
Pm: 0.0000 0.0000 0.0000

# 4
Entry from the Alexandria database: ZnMo2P after structural relaxation (GGA-PBE).

## Properties
Fermi-level density of states = 3.67 states/eV/cell
Distance to the lowest polymorph of the same formula = 166 meV per atom
Raw total energy = -6.981 eV per atom

Cell: 4.3417 4.3417 3.0004 Å, 90.00 90.00 90.00°
Element x y z (fractional)
Zn: 0.0000 0.0000 0.5000
Mo: 0.5000 0.0000 0.0000
Mo: 0.0000 0.5000 0.0000
P: 0.5000 0.5000 0.5000